Here is a geometry-optimized CsVInO4 structure from Alexandria. Energies are from PBE+U.

Unit cell a=6.183 b=6.192 c=7.947 alpha=90.00 beta=105.48 gamma=90.00
Each line ends with the local moment (μB).
Fractional coordinates of all 14 atoms:
Cs1 0.715 0.750 0.942  0.00
Cs2 0.285 0.250 0.058  0.00
V1 0.262 0.750 0.337  0.26
V2 0.738 0.250 0.663  0.26
In1 0.828 0.750 0.474  0.14
In2 0.172 0.250 0.526  0.14
O1 0.925 0.473 0.659  0.00
O2 0.075 0.973 0.341  0.00
O3 0.075 0.527 0.341  0.00
O4 0.925 0.027 0.659  0.00
O5 0.355 0.750 0.153  -0.03
O6 0.645 0.250 0.847  -0.03
O7 0.489 0.750 0.522  -0.01
O8 0.511 0.250 0.478  -0.01

- DOS(E_F): 0.250 states/eV per atom
- Crystal system: monoclinic
- Total DFT energy (no corrections): -84.939 eV for the cell shown